Entry 1:
This record from the Alexandria database describes a relaxed Ag2HgTe crystal. The functional is GGA-PBE.

Summary:
As for the space group: No. 123. As for the size of the total moment: 0.000 μB/f.u. Its crystal system is tetragonal. As for the total energy: -2.1291 eV per atom.

The structure in POSCAR format:
```
Ag2HgTe
1.0
-1.0224 2.7009 1.4041
-0.6260 -1.6360 2.6913
8.1206 1.5895 2.8553
Hg Ag Te
1 2 1
Cartesian
1.2060 0.9298 2.7615
3.9030 0.7640 1.3723
0.1573 0.0308 0.0553
5.2663 1.7246 4.1891
```


Entry 2:
This record from the Alexandria database describes a relaxed Ag2HgTe crystal. The functional is GGA-PBE.

Summary:
As for the space group: No. 160. As for the size of the total moment: 0.000 μB/f.u. Its crystal system is trigonal. As for the total energy: -2.2152 eV per atom.

The structure in POSCAR format:
```
Ag2HgTe
1.0
4.2831 0.0000 0.0000
2.1416 3.7093 0.0000
2.1416 1.2364 6.3025
Te Ag Hg
1 2 1
Cartesian
6.4247 3.7093 6.2406
2.1416 1.2364 1.6065
2.1416 1.2364 4.7010
4.2831 2.4729 3.2081
```


Entry 3:
This record from the Alexandria database describes a relaxed AgHg2Te crystal. The functional is GGA-PBE.

Summary:
As for the space group: No. 99. As for the size of the total moment: 0.000 μB/f.u. Its crystal system is tetragonal. As for the total energy: -1.6311 eV per atom.

The structure in POSCAR format:
```
AgHg2Te
1.0
4.2419 0.0000 0.0000
0.0000 4.2419 0.0000
0.0000 0.0000 6.0075
Ag Te Hg
1 1 2
Cartesian
2.1209 2.1209 3.7574
0.0000 0.0000 3.7521
0.0000 0.0000 0.7476
2.1209 2.1209 0.7542
```


Entry 4:
This record from the Alexandria database describes a relaxed Ag2HgTe crystal. The functional is GGA-PBE.

Summary:
As for the space group: No. 35. As for the size of the total moment: 0.000 μB/f.u. Its crystal system is orthorhombic. As for the total energy: -2.1658 eV per atom.

The structure in POSCAR format:
```
Ag2HgTe
1.0
3.1120 0.2402 0.0000
-0.2457 3.1115 0.0000
0.0000 0.0000 9.5808
Ag Hg Te
2 1 1
Cartesian
1.4331 1.6758 2.2014
0.0000 0.0000 0.2876
0.0000 0.0000 4.3897
1.4331 1.6758 7.4925
```


Entry 5:
This record from the Alexandria database describes a relaxed Ag2HgTe crystal. The functional is GGA-PBE.

Summary:
As for the space group: No. 8. As for the size of the total moment: 0.000 μB/f.u. Its crystal system is monoclinic. As for the total energy: -2.1881 eV per atom.

The structure in POSCAR format:
```
Ag2HgTe
1.0
-1.3668 -1.2942 5.4534
-3.7570 -2.2399 3.7617
1.7574 -5.1725 0.4084
Ag Hg Te
2 1 1
Cartesian
-0.0663 -0.2913 0.2565
-2.4742 -6.1983 6.9607
-1.4549 -4.6535 4.6570
-1.0542 -1.9168 2.5609
```


Entry 6:
This record from the Alexandria database describes a relaxed Ag2HgTe2 crystal. The functional is GGA-PBE.

Summary:
As for the space group: No. 139. As for the size of the total moment: 0.000 μB/f.u. Its crystal system is tetragonal. As for the total energy: -2.4272 eV per atom.

The structure in POSCAR format:
```
Ag2HgTe2
1.0
0.8853 -6.2838 0.2308
-2.7984 -2.0919 5.3025
-2.2567 3.6653 -4.6687
Ag Te Hg
2 2 1
Cartesian
-1.1640 -3.4032 -0.8356
-3.0059 -1.3072 1.7002
-1.2227 -5.3530 3.5364
-0.6904 -3.0227 1.9969
0.0000 0.0000 0.0000
```


Entry 7:
This record from the Alexandria database describes a relaxed AgHg2Te2 crystal. The functional is GGA-PBE.

Summary:
As for the space group: No. 139. As for the size of the total moment: 0.000 μB/f.u. Its crystal system is tetragonal. As for the total energy: -1.7691 eV per atom.

The structure in POSCAR format:
```
AgHg2Te2
1.0
-0.6114 2.4916 3.2048
-3.5506 -1.8993 0.7992
2.0109 -5.2204 7.0716
Ag Te Hg
1 2 2
Cartesian
0.0000 0.0000 0.0000
-1.3998 -0.6223 2.8460
-0.7514 -4.0058 8.2295
-1.8104 -3.4118 4.9364
-0.3408 -1.2163 6.1392
```


Entry 8:
This record from the Alexandria database describes a relaxed Ag2HgTe crystal. The functional is GGA-PBE.

Summary:
As for the space group: No. 10. As for the size of the total moment: 0.000 μB/f.u. Its crystal system is monoclinic. As for the total energy: -2.2431 eV per atom.

The structure in POSCAR format:
```
Ag2HgTe
1.0
4.2389 0.0000 0.0000
0.0000 3.2227 0.0257
0.0000 -0.0402 6.8782
Ag Te Hg
2 1 1
Cartesian
0.0000 2.3977 3.1685
0.0000 2.4162 0.3092
2.1194 2.3868 5.1779
2.1194 0.7956 1.7260
```


Entry 9:
This record from the Alexandria database describes a relaxed AgHg2Te2 crystal. The functional is GGA-PBE.

Summary:
As for the space group: No. 15. As for the size of the total moment: 0.000 μB/f.u. Its crystal system is monoclinic. As for the total energy: -1.9399 eV per atom.

The structure in POSCAR format:
```
AgHg2Te2
1.0
6.6152 -0.5386 3.1524
3.5350 6.0679 0.2546
-0.2054 -0.2870 7.0181
Te Ag Hg
4 2 4
Cartesian
5.2919 -0.5112 8.5640
6.7393 3.4088 5.6455
3.2055 1.8335 4.7795
4.6529 5.7535 1.8610
6.0932 1.5506 3.6402
3.8516 3.6917 6.7848
6.9355 3.0431 8.7640
4.9840 -0.3344 5.6469
4.9608 5.5767 4.7781
3.0094 2.1991 1.6610
```


Entry 10:
This record from the Alexandria database describes a relaxed AgHgTe crystal. The functional is GGA-PBE.

Summary:
As for the space group: No. 44. As for the size of the total moment: 0.000 μB/f.u. Its crystal system is orthorhombic. As for the total energy: -1.9680 eV per atom.

The structure in POSCAR format:
```
AgHgTe
1.0
6.8050 0.8486 0.0083
4.3914 5.2672 -0.0083
-5.2517 -3.6922 2.4114
Ag Te Hg
1 1 1
Cartesian
0.0065 0.0036 0.0000
7.1918 3.9284 0.0000
3.9980 2.1838 0.0000
```


Entry 11:
This record from the Alexandria database describes a relaxed AgHgTe crystal. The functional is GGA-PBE.

Summary:
As for the space group: No. 107. As for the size of the total moment: 0.000 μB/f.u. Its crystal system is tetragonal. As for the total energy: -1.9530 eV per atom.

The structure in POSCAR format:
```
AgHgTe
1.0
-1.9226 0.2902 7.2388
-4.5357 -2.9039 5.2131
4.8084 -0.2918 -5.7424
Te Ag Hg
1 1 1
Cartesian
-4.1886 -1.6952 8.0758
-6.4362 -2.6048 12.4092
-2.2918 -0.9275 4.4187
```


Entry 12:
This record from the Alexandria database describes a relaxed Ag2HgTe2 crystal. The functional is GGA-PBE.

Summary:
As for the space group: No. 139. As for the size of the total moment: 0.000 μB/f.u. Its crystal system is tetragonal. As for the total energy: -2.2303 eV per atom.

The structure in POSCAR format:
```
Ag2HgTe2
1.0
-1.2447 0.3172 4.2656
-4.2683 0.1973 -1.2602
-3.1902 -6.6526 1.8900
Te Ag Hg
2 2 1
Cartesian
-5.1075 -3.0990 1.0663
-3.5957 -3.0391 3.8292
-2.8413 -1.0940 1.5785
-5.8619 -5.0441 3.3170
0.0000 0.0000 0.0000
```


Entry 13:
This record from the Alexandria database describes a relaxed AgHg2Te crystal. The functional is GGA-PBE.

Summary:
As for the space group: No. 8. As for the size of the total moment: 0.000 μB/f.u. Its crystal system is monoclinic. As for the total energy: -1.6302 eV per atom.

The structure in POSCAR format:
```
AgHg2Te
1.0
4.3624 -0.6116 0.4000
2.6078 3.5502 0.4000
2.0773 0.8758 6.6049
Ag Te Hg
1 1 2
Cartesian
6.7570 2.8487 5.4212
4.4996 1.8970 3.9851
2.3072 0.9727 1.8201
2.0847 0.8789 6.4860
```


Entry 14:
This record from the Alexandria database describes a relaxed Ag2HgTe crystal. The functional is GGA-PBE.

Summary:
As for the space group: No. 65. As for the size of the total moment: 0.000 μB/f.u. Its crystal system is orthorhombic. As for the total energy: -2.1267 eV per atom.

The structure in POSCAR format:
```
Ag2HgTe
1.0
-2.5665 -0.7397 1.7332
1.9958 -2.1430 1.2500
2.4982 5.9706 6.2472
Te Hg Ag
1 1 2
Cartesian
1.5883 3.0366 6.1770
0.3392 0.0513 3.0534
1.2039 2.8772 3.0105
0.0452 0.1081 0.1131
```


Entry 15:
This record from the Alexandria database describes a relaxed AgHg2Te crystal. The functional is GGA-PBE.

Summary:
As for the space group: No. 123. As for the size of the total moment: 0.000 μB/f.u. Its crystal system is tetragonal. As for the total energy: -1.5242 eV per atom.

The structure in POSCAR format:
```
AgHg2Te
1.0
-1.9199 2.6159 0.0372
-2.5149 -1.8327 -0.9206
-2.1246 -1.6896 9.1674
Ag Te Hg
1 1 2
Cartesian
-3.8109 -0.8756 6.4338
-2.7485 -0.0308 1.8501
-2.0371 -1.6200 8.7898
-1.1498 -0.9144 4.9613
```


Entry 16:
This record from the Alexandria database describes a relaxed AgHg3Te crystal. The functional is GGA-PBE.

Summary:
As for the space group: No. 221. As for the size of the total moment: 1.191 μB/f.u. Its crystal system is cubic. As for the total energy: -1.0785 eV per atom.

The structure in POSCAR format:
```
AgHg3Te
1.0
5.4065 0.0000 0.0000
0.0000 5.4065 0.0000
0.0000 0.0000 5.4065
Hg Te Ag
3 1 1
Cartesian
0.0000 2.7033 0.0000
0.0000 0.0000 2.7033
2.7033 0.0000 0.0000
2.7033 2.7033 2.7033
0.0000 0.0000 0.0000
```


Entry 17:
This record from the Alexandria database describes a relaxed AgHgTe crystal. The functional is GGA-PBE.

Summary:
As for the space group: No. 156. As for the size of the total moment: 0.000 μB/f.u. Its crystal system is trigonal. As for the total energy: -2.0473 eV per atom.

The structure in POSCAR format:
```
AgHgTe
1.0
-1.3110 -3.3743 2.6863
3.0938 -0.7347 -3.1953
3.2347 1.0452 2.8916
Te Ag Hg
1 1 1
Cartesian
3.9323 -0.8692 0.8273
3.1671 1.0234 2.8311
1.1528 -2.1727 1.6158
```


Entry 18:
This record from the Alexandria database describes a relaxed AgHgTe3 crystal. The functional is GGA-PBE.

Summary:
As for the space group: No. 221. As for the size of the total moment: 0.000 μB/f.u. Its crystal system is cubic. As for the total energy: -1.9942 eV per atom.

The structure in POSCAR format:
```
AgHgTe3
1.0
-5.2048 -1.0249 -1.4319
1.6267 -1.0874 -5.1344
0.6743 -5.2875 1.3335
Te Ag Hg
3 1 1
Cartesian
0.8133 -0.5437 -2.5672
-2.6024 -0.5124 -0.7160
0.3372 -2.6438 0.6667
0.0000 0.0000 0.0000
-1.4519 -3.6999 -2.6164
```


Entry 19:
This record from the Alexandria database describes a relaxed AgHgTe crystal. The functional is GGA-PBE.

Summary:
As for the space group: No. 42. As for the size of the total moment: 0.000 μB/f.u. Its crystal system is orthorhombic. As for the total energy: -1.9465 eV per atom.

The structure in POSCAR format:
```
AgHgTe
1.0
-4.4165 3.6036 4.9138
-6.3009 1.2305 3.5419
0.8115 -1.1703 3.0061
Ag Te Hg
1 1 1
Cartesian
-10.7148 4.8328 8.4545
-6.7140 2.7491 6.5634
-3.1944 0.9161 4.8997
```


Entry 20:
This record from the Alexandria database describes a relaxed Ag2HgTe crystal. The functional is GGA-PBE.

Summary:
As for the space group: No. 6. As for the size of the total moment: 0.000 μB/f.u. Its crystal system is monoclinic. As for the total energy: -2.2186 eV per atom.

The structure in POSCAR format:
```
Ag2HgTe
1.0
-5.0376 0.1252 -0.5779
0.2806 -1.5403 -2.7797
-0.4575 -5.1692 2.8685
Te Hg Ag
1 1 2
Cartesian
-2.6028 -5.5658 -0.7755
-0.0509 -2.9481 -0.1949
-0.1750 -6.6782 0.0789
-2.6511 -1.4565 0.5355
```